1.
A plane-wave DFT calculation with PBE was carried out for a geometry-optimized KBa2Br structure.

a = 7.1288 Å, b = 7.1288 Å, c = 4.3460 Å
α = 90.00°, β = 90.00°, γ = 108.64°
Closest atoms and distances in Å follow each position.
Fractional positions:
K: 0.0000 0.5000 0.5000  2 Br 4.16, 8 Ba 4.17, 2 K 4.35
Ba: 0.5000 0.5000 0.0000  4 Ba 4.16-4.35, 4 Br 4.17, 4 K 4.17
Ba: 0.0000 0.0000 0.0000  4 Ba 4.16-4.35, 4 K 4.17, 4 Br 4.17
Br: 0.5000 0.0000 0.5000  2 K 4.16, 8 Ba 4.17, 2 Br 4.35



2.
A plane-wave DFT calculation with PBE was carried out for a geometry-optimized KBa2Br structure.

a = 8.1620 Å, b = 8.1620 Å, c = 8.0126 Å
α = 58.06°, β = 58.06°, γ = 30.21°
Closest atoms and distances in Å follow each position.
Fractional positions:
K: 0.1855 0.1855 0.2689  2 Br 3.71
Ba: 0.8237 0.8237 0.6138  2 Br 3.43
Ba: 0.0111 0.0111 0.9561  2 Br 3.41
Br: 0.4797 0.4797 0.6612  4 Ba 3.41-3.43, 2 K 3.71



3.
A plane-wave DFT calculation with PBE was carried out for a geometry-optimized KBa2Br structure.

a = 4.1013 Å, b = 4.1022 Å, c = 12.1141 Å
α = 90.00°, β = 90.00°, γ = 90.00°
Closest atoms and distances in Å follow each position.
Fractional positions:
Ba: 0.0000 0.0000 0.4414  4 Br 3.71, 4 Ba 4.10
K: 0.5000 0.5000 0.7500  4 K 4.10
Ba: 0.0000 0.0000 0.0586  4 Br 3.71, 4 Ba 4.10
Br: 0.5000 0.5000 0.2500  8 Ba 3.71, 4 Br 4.10



4.
A plane-wave DFT calculation with PBE was carried out for a geometry-optimized KBaBr2 structure.

a = 7.0635 Å, b = 7.0635 Å, c = 7.0635 Å
α = 141.97°, β = 97.57°, γ = 94.62°
Closest atoms and distances in Å follow each position.
Fractional positions:
Ba: 0.2500 0.7500 0.5000  4 Br 3.23
Br: 0.0130 0.0130 0.0000  2 Ba 3.23, 2 K 3.41
K: 0.7500 0.2500 0.5000  4 Br 3.41
Br: 0.4870 0.4870 0.0000  2 Ba 3.23, 2 K 3.41



ΔE to the lowest computed polymorph values (in eV per atom) by entry order: 0.300, 0.080, 0.135, 0.145.
Energy relative to the elements, uncorrected values (in meV/atom) by entry order: -430, -650, -595, -1479.